A relaxed structure of AcHfTeO6. Source: the Alexandria database, functional PBE.

Unit cell a=5.535 b=5.535 c=10.698 alpha=90.00 beta=90.00 gamma=120.00
Fractional coordinates of all 18 atoms:
Ac 0.000 0.000 0.000
Ac 0.000 0.000 0.500
Hf 0.333 0.667 0.250
Hf 0.667 0.333 0.750
Te 0.333 0.667 0.750
Te 0.667 0.333 0.250
O 0.003 0.374 0.643
O 0.003 0.629 0.857
O 0.371 0.374 0.857
O 0.371 0.997 0.643
O 0.374 0.003 0.143
O 0.374 0.371 0.357
O 0.626 0.629 0.643
O 0.626 0.997 0.857
O 0.629 0.003 0.357
O 0.629 0.626 0.143
O 0.997 0.371 0.143
O 0.997 0.626 0.357

Computed properties:
Magnetic moment = 0.00 μB per formula unit
Raw formation energy = -22.6 eV per formula unit